Record 1
Computed, not measured: TaMnOs2 after structural relaxation at the GGA-PBEsol level of DFT.

Lattice parameters (Å, degrees): 4.3376 4.3376 4.3376 60.00 60.00 60.00
Fractional positions:
Ta 0.0000 0.0000 0.0000
Mn 0.2500 0.2500 0.2500
Os 0.5000 0.5000 0.5000
Os 0.7500 0.7500 0.7500

energy relative to the elements: 0.193 eV per atom
total magnetization: 2.757 μB/cell

***

Record 2
Computed, not measured: SiPtWN2 after structural relaxation at the GGA-PBEsol level of DFT.

Lattice parameters (Å, degrees): 3.5968 3.5968 4.8418 90.00 90.00 90.00
Fractional positions:
Si 0.0000 0.0000 0.0000
Pt 0.0000 0.0000 0.5000
W 0.5000 0.5000 0.5000
N 0.0000 0.5000 0.0000
N 0.5000 0.0000 0.0000

formation energy without anion corrections: 1.01 eV/atom
total magnetization: 0.004 μB/cell

***

Record 3
Computed, not measured: AgB3Rh after structural relaxation at the GGA-PBEsol level of DFT.

Lattice parameters (Å, degrees): 4.0399 4.0399 4.0399 90.00 90.00 90.00
Fractional positions:
Ag 0.0000 0.0000 0.0000
B 0.0000 0.5000 0.5000
B 0.5000 0.0000 0.5000
B 0.5000 0.5000 0.0000
Rh 0.5000 0.5000 0.5000

energy relative to the elements: 1.118 eV per atom
total magnetization: 0.000 μB/cell

***

Question: Among the records above, which one has the highest total magnetization?
Answer: TaMnOs2

***

Question: The lowest total magnetization belongs to which entry?
Answer: AgB3Rh

***

Question: Which value of total magnetization does entry 1 give?
Answer: 2.757 μB/cell